Entry from the Alexandria database: a relaxed Er6HgPt2 crystal (PBE).

Cell lengths 8.453, 8.453, 8.453 Å; angles 104.77, 110.61, 113.14 degrees
Fractional coordinates of all 18 atoms:
Er1 0.530 0.712 0.818
Er2 0.470 0.288 0.182
Er3 0.107 0.288 0.818
Er4 0.893 0.712 0.182
Er5 0.801 0.762 0.563
Er6 0.199 0.238 0.437
Er7 0.199 0.762 0.961
Er8 0.801 0.238 0.039
Er9 0.700 0.369 0.668
Er10 0.300 0.631 0.332
Er11 0.300 0.968 0.668
Er12 0.700 0.032 0.332
Hg1 0.000 0.500 0.500
Hg2 0.000 0.000 0.000
Pt1 0.500 0.364 0.864
Pt2 0.500 0.636 0.136
Pt3 0.659 0.000 0.659
Pt4 0.341 0.000 0.341

## Properties
spin magnetization: 0.00 μB/f.u.
energy relative to the elements: -0.744 eV/atom

Entry from the Alexandria database: a relaxed Er2HgPt crystal (PBE).

Cell lengths 5.050, 5.050, 5.050 Å; angles 60.00, 60.00, 60.00 degrees
Fractional coordinates of all 4 atoms:
Hg1 0.000 0.000 0.000
Pt1 0.500 0.500 0.500
Er1 0.250 0.250 0.250
Er2 0.750 0.750 0.750

## Properties
spin magnetization: 0.00 μB/f.u.
energy relative to the elements: -0.844 eV/atom

| no. | DOS at the Fermi energy (states/eV per atom) | raw total energy (eV per atom) |
| --- | --- | --- |
| 1 | 1.012 | -5.1619 |
| 2 | 0.492 | -4.7111 |